(1)
# CdTe2Cl, optimized geometry, DFT GGA-PBE
data_CdTe2Cl
_cell_length_a 5.742
_cell_length_b 13.614
_cell_length_c 3.125
_cell_angle_alpha 90.00
_cell_angle_beta 90.71
_cell_angle_gamma 90.00
_space_group_name_H-M_alt 'C 1 2/m 1'
_space_group_IT_number 12
loop_
_space_group_symop_operation_xyz
'x,y,z'
'-x,-y,-z'
'-x,y,-z'
'x,-y,z'
'x+1/2,y+1/2,z'
'-x+1/2,-y+1/2,-z'
'-x+1/2,y+1/2,-z'
'x+1/2,-y+1/2,z'
loop_
_atom_site_label
_atom_site_type_symbol
_atom_site_fract_x
_atom_site_fract_y
_atom_site_fract_z
Cd1 Cd 0.000 0.000 0.000
Te1 Te 0.250 0.250 0.500
Cl1 Cl 0.000 0.500 0.000
# Formation energy from raw total energies in eV per atom: 0.006
# E above lowest polymorph in kcal/mol of atoms: 8.49
# Magnetization in μB per atom: 0.000

---

(2)
# CdTe2Cl, optimized geometry, DFT GGA-PBE
data_CdTe2Cl
_cell_length_a 5.630
_cell_length_b 5.630
_cell_length_c 3.287
_cell_angle_alpha 90.00
_cell_angle_beta 90.00
_cell_angle_gamma 90.00
_space_group_name_H-M_alt 'P 4/m m m'
_space_group_IT_number 123
_space_group_name_Hall '-P 4 2'
loop_
_atom_site_label
_atom_site_type_symbol
_atom_site_fract_x
_atom_site_fract_y
_atom_site_fract_z
Cd1 Cd 0.000 0.000 0.000
Te1 Te 0.000 0.500 0.500
Cl1 Cl 0.500 0.500 0.000
# Formation energy from raw total energies in eV per atom: 0.172
# E above lowest polymorph in kcal/mol of atoms: 12.32
# Magnetization in μB per atom: 0.000

---

(3)
# CdTe2Cl, optimized geometry, DFT GGA-PBE
data_CdTe2Cl
_cell_length_a 7.383
_cell_length_b 7.383
_cell_length_c 7.383
_cell_angle_alpha 90.00
_cell_angle_beta 90.00
_cell_angle_gamma 90.00
_space_group_name_H-M_alt 'F m -3 m'
_space_group_IT_number 225
_space_group_name_Hall '-F 4 2 3'
loop_
_atom_site_label
_atom_site_type_symbol
_atom_site_fract_x
_atom_site_fract_y
_atom_site_fract_z
Cd1 Cd 0.000 0.000 0.000
Te1 Te 0.250 0.250 0.250
Cl1 Cl 0.000 0.000 0.500
# Formation energy from raw total energies in eV per atom: 0.086
# E above lowest polymorph in kcal/mol of atoms: 10.33
# Magnetization in μB per atom: 0.000

---

(4)
# Cd3Te2Cl2, optimized geometry, DFT GGA-PBE
data_Cd3Te2Cl2
_cell_length_a 14.353
_cell_length_b 4.282
_cell_length_c 7.048
_cell_angle_alpha 90.00
_cell_angle_beta 104.55
_cell_angle_gamma 90.00
_space_group_name_H-M_alt 'C 1 2/m 1'
_space_group_IT_number 12
loop_
_space_group_symop_operation_xyz
'x,y,z'
'-x,-y,-z'
'-x,y,-z'
'x,-y,z'
'x+1/2,y+1/2,z'
'-x+1/2,-y+1/2,-z'
'-x+1/2,y+1/2,-z'
'x+1/2,-y+1/2,z'
loop_
_atom_site_label
_atom_site_type_symbol
_atom_site_fract_x
_atom_site_fract_y
_atom_site_fract_z
Cd1 Cd 0.000 0.000 0.000
Cd2 Cd 0.246 0.000 0.755
Te1 Te 0.117 0.500 0.878
Cl1 Cl 0.151 0.000 0.387
# Formation energy from raw total energies in eV per atom: -0.615
# Magnetization in μB per atom: 0.000